Below is a relaxed structure of CrIn, with properties calculated at the PBE level.

Computed properties:
The mass density comes out at 7.008 g cm⁻³.

a = 3.726 Å, b = 3.726 Å, c = 19.722 Å
α = 90.00°, β = 90.00°, γ = 120.00°
Atoms (fractional coordinates):
Cr1 0.000 0.000 0.167
Cr2 0.000 0.000 0.833
Cr3 0.333 0.667 0.499
Cr4 0.333 0.667 0.834
Cr5 0.667 0.333 0.166
Cr6 0.667 0.333 0.501
In1 0.000 0.000 0.398
In2 0.000 0.000 0.602
In3 0.333 0.667 0.064
In4 0.333 0.667 0.269
In5 0.667 0.333 0.731
In6 0.667 0.333 0.936



Below is a relaxed structure of YV2Au, with properties calculated at the PBE level.

Computed properties:
The mass density comes out at 8.068 g cm⁻³. The relative energy among the computed polymorphs is 38 meV/atom.

a = 3.953 Å, b = 3.953 Å, c = 20.433 Å
α = 90.00°, β = 90.00°, γ = 90.00°
Atoms (fractional coordinates):
Y1 0.000 0.000 0.000
Y2 0.000 0.500 0.250
Y3 0.500 0.000 0.750
Y4 0.500 0.500 0.500
V1 0.234 0.250 0.625
V2 0.250 0.734 0.875
V3 0.250 0.766 0.375
V4 0.266 0.250 0.125
V5 0.734 0.750 0.125
V6 0.750 0.234 0.375
V7 0.750 0.266 0.875
V8 0.766 0.750 0.625
Au1 0.000 0.000 0.500
Au2 0.000 0.500 0.750
Au3 0.500 0.000 0.250
Au4 0.500 0.500 0.000



Below is a relaxed structure of CoNi2Rh, with properties calculated at the PBE level.

Computed properties:
The mass density comes out at 9.725 g cm⁻³. The relative energy among the computed polymorphs is 30 meV/atom.

a = 2.592 Å, b = 2.592 Å, c = 7.099 Å
α = 90.00°, β = 90.00°, γ = 90.00°
Atoms (fractional coordinates):
Co1 0.000 0.000 0.000
Ni1 0.000 0.000 0.476
Ni2 0.500 0.500 0.235
Rh1 0.500 0.500 0.739



Below is a relaxed structure of MgSc2Zn2, with properties calculated at the PBE level.

Computed properties:
The mass density comes out at 3.736 g cm⁻³. The relative energy among the computed polymorphs is 373 meV/atom.

a = 3.672 Å, b = 3.672 Å, c = 16.150 Å
α = 90.00°, β = 90.00°, γ = 90.00°
Atoms (fractional coordinates):
Mg1 0.000 0.000 0.000
Mg2 0.500 0.500 0.500
Sc1 0.000 0.000 0.394
Sc2 0.000 0.000 0.606
Sc3 0.500 0.500 0.106
Sc4 0.500 0.500 0.894
Zn1 0.000 0.500 0.250
Zn2 0.000 0.500 0.750
Zn3 0.500 0.000 0.250
Zn4 0.500 0.000 0.750



Number 1: DFT total energy -5.62 eV per atom, E_form 563 meV per atom. Number 2: DFT total energy -6.55 eV per atom, E_form 440 meV per atom. Number 3: DFT total energy -6.46 eV per atom, E_form 42 meV per atom. Number 4: DFT total energy -3.27 eV per atom, E_form 92 meV per atom.